# GGA-PBE Co3BS, relaxed
# Energy = -30.54 eV for the cell shown
# Energy above the lowest structure with this stoichiometry = 0.000 eV per atom
# Spin magnetization = 0.73 μB per atom
data_Co3BS
_chemical_formula_sum 'Co3 B1 S1'
_space_group_name_H-M_alt 'P m -3 m'
_space_group_IT_number 221
_space_group_name_Hall '-P 4 2 3'
_cell_length_a 3.843
_cell_length_b 3.843
_cell_length_c 3.843
_cell_angle_alpha 90.00
_cell_angle_beta 90.00
_cell_angle_gamma 90.00
loop_
_atom_site_label
_atom_site_fract_x
_atom_site_fract_y
_atom_site_fract_z
Co1 0.000 0.000 0.500
B1 0.000 0.000 0.000
S1 0.500 0.500 0.500